(1)
Here is an optimized crystal structure of CdRh3N from Alexandria. Energies are from PBE.

```
data_CdRh3N
_symmetry_space_group_name_H-M 'P 1'
_symmetry_Int_Tables_number 1
_cell_length_a 5.0478
_cell_length_b 5.5545
_cell_length_c 5.9046
_cell_angle_alpha 105.26
_cell_angle_beta 90.69
_cell_angle_gamma 113.68
loop_
_symmetry_equiv_pos_as_xyz
'x,y,z'
loop_
_atom_site_label
_atom_site_fract_x
_atom_site_fract_y
_atom_site_fract_z
Cd1 0.0000 0.0000 0.0000
Cd2 0.0289 0.0194 0.5036
Rh1 0.4544 0.5262 0.9003
Rh2 0.4768 0.5414 0.3653
Rh3 0.5225 0.0241 0.2583
Rh4 0.5233 0.0274 0.7553
Rh5 0.9055 0.4968 0.6232
Rh6 0.9876 0.5410 0.1359
N1 0.3171 0.6298 0.6523
N2 0.5824 0.2946 0.0803
```



(2)
Here is an optimized crystal structure of CdRh3N from Alexandria. Energies are from PBE.

```
data_CdRh3N
_symmetry_space_group_name_H-M 'C 1 2/c 1'
_symmetry_Int_Tables_number 15
_cell_length_a 11.5244
_cell_length_b 9.9661
_cell_length_c 5.8422
_cell_angle_alpha 90.00
_cell_angle_beta 116.81
_cell_angle_gamma 90.00
loop_
_symmetry_equiv_pos_as_xyz
'x,y,z'
'-x,-y,-z'
'-x,y,-z+1/2'
'x,-y,z+1/2'
'x+1/2,y+1/2,z'
'-x+1/2,-y+1/2,-z'
'-x+1/2,y+1/2,-z+1/2'
'x+1/2,-y+1/2,z+1/2'
loop_
_atom_site_label
_atom_site_fract_x
_atom_site_fract_y
_atom_site_fract_z
Cd1 0.0000 0.2253 0.2500
Cd2 0.0000 0.2596 0.7500
Rh1 0.1119 0.0184 0.7002
Rh2 0.1330 0.4892 0.3844
Rh3 0.2494 0.2216 0.2407
N1 0.2179 0.4088 0.2016
```



(3)
Here is an optimized crystal structure of CdRh3N from Alexandria. Energies are from PBE.

```
data_CdRh3N
_symmetry_space_group_name_H-M 'P 4 m m'
_symmetry_Int_Tables_number 99
_cell_length_a 3.9314
_cell_length_b 3.9314
_cell_length_c 6.6272
_cell_angle_alpha 90.00
_cell_angle_beta 90.00
_cell_angle_gamma 90.00
loop_
_symmetry_equiv_pos_as_xyz
'x,y,z'
'-y,x,z'
'-x,-y,z'
'y,-x,z'
'-x,y,z'
'y,x,z'
'x,-y,z'
'-y,-x,z'
loop_
_atom_site_label
_atom_site_fract_x
_atom_site_fract_y
_atom_site_fract_z
Cd1 0.0000 0.0000 0.0000
Rh1 0.0000 0.0000 0.5990
Rh2 0.0000 0.5000 0.3274
N1 0.5000 0.5000 0.3266
```



(4)
Here is an optimized crystal structure of CdRhN2 from Alexandria. Energies are from PBE.

```
data_CdRhN2
_symmetry_space_group_name_H-M 'I -4 2 d'
_symmetry_Int_Tables_number 122
_symmetry_space_group_name_Hall 'I -4 2bw'
_cell_length_a 5.0509
_cell_length_b 5.0509
_cell_length_c 9.0636
_cell_angle_alpha 90.00
_cell_angle_beta 90.00
_cell_angle_gamma 90.00
loop_
_atom_site_label
_atom_site_fract_x
_atom_site_fract_y
_atom_site_fract_z
Cd1 0.0000 0.0000 0.0000
Rh1 0.0000 0.0000 0.5000
N1 0.1967 0.2500 0.6250
```



no.,formation energy (no corrections) (eV/atom),N(E_F) (states/eV/f.u.)
1,0.107,3.26
2,0.170,3.27
3,0.629,5.06
4,0.712,1.98